No. 1
DFT (GGA-PBEsol) results for a relaxed InFeHg2 crystal.

Cell: 2.8703 4.5408 6.8130 Å, 109.59 102.16 90.00°
Last column: nearest neighbours and their distance in Å.
Element x y z (fractional)
Fe  0.7497  0.2495  0.4993  6 Hg 2.69-2.73, 2 In 2.72, 2 Fe 2.87
Hg  0.0642  0.0648  0.1284  2 Fe 2.73, 2 Hg 2.87
Hg  0.2514  0.7513  0.5029  4 Fe 2.69, 2 Hg 2.87
In  0.4347  0.4344  0.8694  2 Fe 2.72, 2 In 2.87

Density of states at the Fermi level in states/eV per cell: 2.8
ρ in g/cm3: 11.6
ΔE_f in eV/atom: 0.228

=====

No. 2
DFT (GGA-PBEsol) results for a relaxed InFeHg2 crystal.

Cell: 3.0822 4.9860 5.8611 Å, 114.27 103.88 93.10°
Last column: nearest neighbours and their distance in Å.
Element x y z (fractional)
Fe  0.5000  0.5000  0.0000  4 In 2.86-3.00, 4 Hg 2.93, 2 Fe 3.08
Hg  0.0000  0.0000  0.5000  6 Hg 2.86-3.08, 2 In 2.93, 2 Fe 2.93
Hg  0.5000  0.5000  0.5000  6 Hg 2.86-3.08, 2 In 2.93, 2 Fe 2.93
In  0.0000  0.0000  0.0000  4 Fe 2.86-3.00, 4 Hg 2.93, 2 In 3.08

Density of states at the Fermi level in states/eV per cell: 2.0
ρ in g/cm3: 12.1
ΔE_f in eV/atom: 0.352

=====

No. 3
DFT (GGA-PBEsol) results for a relaxed KInFe2Hg crystal.

Cell: 4.6161 4.6161 5.6326 Å, 90.00 90.00 90.00°
Last column: nearest neighbours and their distance in Å.
Element x y z (fractional)
Fe  0.0000  0.5000  0.0000  2 K 2.31
Fe  0.5000  0.0000  0.0000  2 K 2.31
K  0.0000  0.0000  0.0000  4 Fe 2.31
Hg  0.5000  0.5000  0.5000  4 In 3.26, 8 Fe 3.64
In  0.0000  0.0000  0.5000  2 K 2.82

Density of states at the Fermi level in states/eV per cell: 5.7
ρ in g/cm3: 6.5
ΔE_f in eV/atom: 2.049

=====

No. 4
DFT (GGA-PBEsol) results for a relaxed FeHgIr3 crystal.

Cell: 4.8230 4.8230 4.8230 Å, 90.00 90.00 90.00°
Last column: nearest neighbours and their distance in Å.
Element x y z (fractional)
Ir  0.0000  0.5000  0.0000  2 Hg 2.41
Ir  0.0000  0.0000  0.5000  2 Hg 2.41
Ir  0.5000  0.0000  0.0000  2 Hg 2.41
Hg  0.0000  0.0000  0.0000  6 Ir 2.41
Fe  0.5000  0.5000  0.5000  12 Ir 3.41

Density of states at the Fermi level in states/eV per cell: 6.1
ρ in g/cm3: 12.3
ΔE_f in eV/atom: 2.873

=====

No. 5
DFT (GGA-PBEsol) results for a relaxed Fe3HgIr crystal.

Cell: 4.6069 4.6069 4.6069 Å, 90.00 90.00 90.00°
Last column: nearest neighbours and their distance in Å.
Element x y z (fractional)
Ir  0.5000  0.5000  0.5000  12 Fe 3.26
Hg  0.0000  0.0000  0.0000  6 Fe 2.30
Fe  0.0000  0.5000  0.0000  2 Hg 2.30
Fe  0.0000  0.0000  0.5000  2 Hg 2.30
Fe  0.5000  0.0000  0.0000  2 Hg 2.30

Density of states at the Fermi level in states/eV per cell: 8.5
ρ in g/cm3: 9.5
ΔE_f in eV/atom: 2.183

=====

No. 6
DFT (GGA-PBEsol) results for a relaxed FeHgIr2 crystal.

Cell: 2.8394 4.6999 4.6999 Å, 107.36 90.00 90.00°
Last column: nearest neighbours and their distance in Å.
Element x y z (fractional)
Fe  0.5000  0.0000  0.0000  8 Ir 2.75, 2 Hg 2.78, 2 Fe 2.84
Hg  0.5000  0.5000  0.5000  8 Ir 2.75, 2 Fe 2.78, 2 Hg 2.84
Ir  0.0000  0.5000  0.0000  4 Fe 2.75, 4 Hg 2.75, 4 Ir 2.78-2.84
Ir  0.0000  0.0000  0.5000  4 Hg 2.75, 4 Fe 2.75, 4 Ir 2.78-2.84

Density of states at the Fermi level in states/eV per cell: 5.3
ρ in g/cm3: 17.8
ΔE_f in eV/atom: 0.485